[1]
The following is a DFT calculation (PBE-GGA) of an optimized crystal structure of Pu5InPd4.

abc: 7.6393 7.6393 7.0154
angles: 113.15 113.15 33.63
Last column: nearest neighbours and their distance in Å.
Fractional coordinates of all 10 atoms:
Pu1 0.0000 0.0000 0.0000  6 Pd 2.97-3.07
Pu2 0.3071 0.3071 0.8680  1 Pu 2.45
Pu3 0.3193 0.3193 0.2265  1 Pu 2.45
Pu4 0.6807 0.6807 0.7735  1 Pu 2.45
Pu5 0.6929 0.6929 0.1320  1 Pu 2.45
In1 0.0000 0.0000 0.5000  6 Pd 2.77-2.83
Pd1 0.1778 0.1778 0.4306  1 In 2.83, 5 Pu 2.87-3.11, 4 Pd 2.89-2.93
Pd2 0.4613 0.4613 0.6942  2 In 2.77, 2 Pd 2.89, 5 Pu 2.97-3.08
Pd3 0.5387 0.5387 0.3058  2 In 2.77, 2 Pd 2.89, 5 Pu 2.97-3.08
Pd4 0.8222 0.8222 0.5694  1 In 2.83, 5 Pu 2.87-3.11, 4 Pd 2.89-2.93

Values from the calculation:
The calculation puts the electronic total energy at -9.748 eV/atom. The value obtained for the formation energy is -0.2315 eV per atom. As for the symmetry: C2/m.

***

[2]
The following is a DFT calculation (PBE-GGA) of an optimized crystal structure of Li2CaCu.

abc: 4.1696 4.1887 4.9618
angles: 90.00 90.00 90.00
Last column: nearest neighbours and their distance in Å.
Fractional coordinates of all 4 atoms:
Li1 0.0000 0.0000 0.0000  4 Li 2.96, 4 Cu 3.24, 4 Ca 3.25
Li2 0.5000 0.5000 0.0000  4 Li 2.96, 4 Ca 3.24, 4 Cu 3.25
Ca1 0.0000 0.5000 0.5000  4 Cu 2.96, 8 Li 3.24-3.25
Cu1 0.5000 0.0000 0.5000  4 Ca 2.96, 8 Li 3.24-3.25

Values from the calculation:
The calculation puts the electronic total energy at -2.418 eV/atom. The value obtained for the formation energy is 0.0634 eV per atom. As for the symmetry: Pmmm.

***

[3]
The following is a DFT calculation (PBE-GGA) of an optimized crystal structure of RuSI3.

abc: 5.3262 5.3262 5.3262
angles: 90.00 90.00 90.00
Last column: nearest neighbours and their distance in Å.
Fractional coordinates of all 5 atoms:
Ru1 0.0000 0.0000 0.0000  6 I 2.66
S1 0.5000 0.5000 0.5000  12 I 3.77
I1 0.0000 0.0000 0.5000  2 Ru 2.66
I2 0.0000 0.5000 0.0000  2 Ru 2.66
I3 0.5000 0.0000 0.0000  2 Ru 2.66

Values from the calculation:
The calculation puts the uncorrected formation energy at 0.749 eV per atom. The calculation puts the electronic total energy at -2.861 eV/atom. As for the symmetry: Pm-3m.

***

[4]
The following is a DFT calculation (PBE-GGA) of an optimized crystal structure of In2Si3.

abc: 7.1473 6.1528 8.4826
angles: 55.76 45.37 78.86
Last column: nearest neighbours and their distance in Å.
Fractional coordinates of all 10 atoms:
In1 0.1974 0.8026 0.4096  5 Si 2.80-3.09
In2 0.6596 0.8404 0.4474  5 Si 2.80-3.09
In3 0.8026 0.1974 0.5904  5 Si 2.80-3.09
In4 0.8404 0.6596 0.0526  5 Si 2.80-3.09
Si1 0.1864 0.3461 0.0365  2 Si 2.47-2.53
Si2 0.2135 0.8190 0.0636  2 Si 2.47-2.53
Si3 0.2825 0.2825 0.7175  4 Si 2.47-2.53
Si4 0.3461 0.1864 0.4310  2 Si 2.47-2.53
Si5 0.5325 0.5325 0.9675  4 Si 2.47-2.53
Si6 0.8190 0.2135 0.9039  2 Si 2.47-2.53

Values from the calculation:
The calculation puts the uncorrected formation energy at 0.351 eV per atom. The calculation puts the electronic total energy at -3.998 eV/atom. As for the symmetry: Fdd2.

***

[5]
The following is a DFT calculation (PBE-GGA) of an optimized crystal structure of Ba6AsSe2Br3.

abc: 8.2033 8.2033 8.2495
angles: 99.55 99.55 119.93
Last column: nearest neighbours and their distance in Å.
Fractional coordinates of all 12 atoms:
Ba1 0.0756 0.4042 0.2267  1 As 3.22, 2 Se 3.27, 3 Br 3.45-3.49
Ba2 0.2527 0.2527 0.7726  1 As 3.23, 2 Se 3.27, 3 Br 3.45-3.49
Ba3 0.4042 0.0756 0.2267  1 As 3.22, 2 Se 3.27, 3 Br 3.45-3.49
Ba4 0.5958 0.9244 0.7733  1 As 3.22, 2 Se 3.27, 3 Br 3.45-3.49
Ba5 0.7473 0.7473 0.2274  1 As 3.23, 2 Se 3.27, 3 Br 3.45-3.49
Ba6 0.9244 0.5958 0.7733  1 As 3.22, 2 Se 3.27, 3 Br 3.45-3.49
As1 0.0000 0.0000 0.0000  6 Ba 3.22-3.23
Se1 0.3335 0.6665 0.0000  6 Ba 3.27
Se2 0.6665 0.3335 0.0000  6 Ba 3.27
Br1 0.1671 0.8329 0.5000  6 Ba 3.45-3.49
Br2 0.5000 0.5000 0.5000  6 Ba 3.45-3.49
Br3 0.8329 0.1671 0.5000  6 Ba 3.45-3.49

Values from the calculation:
The calculation puts the uncorrected formation energy at -1.776 eV per atom. The calculation puts the electronic total energy at -4.124 eV/atom. As for the symmetry: C2/m.

***

[6]
The following is a DFT calculation (PBE-GGA) of an optimized crystal structure of ScNi4H4.

abc: 4.7785 4.7785 4.7785
angles: 98.24 98.24 135.51
Last column: nearest neighbours and their distance in Å.
Fractional coordinates of all 9 atoms:
Sc1 0.0000 0.0000 0.0000  4 H 2.27
Ni1 0.1933 0.6085 0.8018  4 H 1.75-1.83
Ni2 0.3915 0.1933 0.5848  4 H 1.75-1.83
Ni3 0.6085 0.8067 0.4152  4 H 1.75-1.83
Ni4 0.8067 0.3915 0.1982  4 H 1.75-1.83
H1 0.1474 0.3313 0.4788  4 Ni 1.75-1.83
H2 0.3313 0.8526 0.1839  4 Ni 1.75-1.83
H3 0.6687 0.1474 0.8161  4 Ni 1.75-1.83
H4 0.8526 0.6687 0.5212  4 Ni 1.75-1.83

Values from the calculation:
The calculation puts the electronic total energy at -5.037 eV/atom. As for the symmetry: I4/m.

***

[7]
The following is a DFT calculation (PBE-GGA) of an optimized crystal structure of AlTeF2.

abc: 6.3739 6.3739 6.3739
angles: 90.00 90.00 90.00
Last column: nearest neighbours and their distance in Å.
Fractional coordinates of all 16 atoms:
Al1 0.0000 0.0000 0.0000  8 F 2.76
Al2 0.0000 0.5000 0.5000  8 F 2.76
Al3 0.5000 0.0000 0.5000  8 F 2.76
Al4 0.5000 0.5000 0.0000  8 F 2.76
Te1 0.0000 0.0000 0.5000  8 F 2.76
Te2 0.0000 0.5000 0.0000  8 F 2.76
Te3 0.5000 0.0000 0.0000  8 F 2.76
Te4 0.5000 0.5000 0.5000  8 F 2.76
F1 0.2500 0.2500 0.2500  4 Te 2.76, 4 Al 2.76
F2 0.2500 0.2500 0.7500  4 Te 2.76, 4 Al 2.76
F3 0.2500 0.7500 0.2500  4 Te 2.76, 4 Al 2.76
F4 0.2500 0.7500 0.7500  4 Te 2.76, 4 Al 2.76
F5 0.7500 0.2500 0.2500  4 Te 2.76, 4 Al 2.76
F6 0.7500 0.2500 0.7500  4 Te 2.76, 4 Al 2.76
F7 0.7500 0.7500 0.2500  4 Te 2.76, 4 Al 2.76
F8 0.7500 0.7500 0.7500  4 Te 2.76, 4 Al 2.76

Values from the calculation:
The calculation puts the uncorrected formation energy at -0.684 eV per atom. The calculation puts the electronic total energy at -3.341 eV/atom. As for the symmetry: Fm-3m.

***

[8]
The following is a DFT calculation (PBE-GGA) of an optimized crystal structure of K3Dy2MnSe6.

abc: 7.1509 7.1509 8.0168
angles: 98.35 98.35 120.61
Last column: nearest neighbours and their distance in Å.
Fractional coordinates of all 12 atoms:
K1 0.0000 0.0000 0.0000  6 Se 3.26-3.48
K2 0.3309 0.6691 0.0000  6 Se 3.26-3.37
K3 0.6691 0.3309 0.0000  6 Se 3.26-3.37
Dy1 0.1681 0.8319 0.5000  6 Se 2.86-2.90
Dy2 0.8319 0.1681 0.5000  6 Se 2.86-2.90
Mn1 0.5000 0.5000 0.5000  6 Se 2.61-2.75
Se1 0.1146 0.4316 0.2989  1 Mn 2.75, 2 Dy 2.86-2.88
Se2 0.2589 0.2589 0.6918  1 Mn 2.61, 2 Dy 2.90
Se3 0.4316 0.1146 0.2989  1 Mn 2.75, 2 Dy 2.86-2.88
Se4 0.5684 0.8854 0.7011  1 Mn 2.75, 2 Dy 2.86-2.88
Se5 0.7411 0.7411 0.3082  1 Mn 2.61, 2 Dy 2.90
Se6 0.8854 0.5684 0.7011  1 Mn 2.75, 2 Dy 2.86-2.88

Values from the calculation:
The calculation puts the uncorrected formation energy at -1.375 eV per atom. The calculation puts the electronic total energy at -4.923 eV/atom. As for the symmetry: C2/m.

***

[9]
The following is a DFT calculation (PBE-GGA) of an optimized crystal structure of Ca2Ti2In.

abc: 3.5546 3.5546 21.3705
angles: 90.00 90.00 90.00
Last column: nearest neighbours and their distance in Å.
Fractional coordinates of all 10 atoms:
Ca1 0.0000 0.0000 0.1072  4 In 3.40, 4 Ti 3.53, 4 Ca 3.55
Ca2 0.0000 0.0000 0.8928  4 In 3.40, 4 Ti 3.53, 4 Ca 3.55
Ca3 0.5000 0.5000 0.3928  4 In 3.40, 4 Ti 3.53, 4 Ca 3.55
Ca4 0.5000 0.5000 0.6072  4 In 3.40, 4 Ti 3.53, 4 Ca 3.55
Ti1 0.0000 0.5000 0.2500  4 Ti 2.51
Ti2 0.0000 0.5000 0.7500  4 Ti 2.51
Ti3 0.5000 0.0000 0.2500  4 Ti 2.51
Ti4 0.5000 0.0000 0.7500  4 Ti 2.51
In1 0.0000 0.0000 0.5000  8 Ca 3.40, 4 In 3.55
In2 0.5000 0.5000 0.0000  8 Ca 3.40, 4 In 3.55

Values from the calculation:
The calculation puts the electronic total energy at -4.307 eV/atom. The value obtained for the formation energy is 0.1989 eV per atom. As for the symmetry: I4/mmm.

***

[10]
The following is a DFT calculation (PBE-GGA) of an optimized crystal structure of LaRu2RhC.

abc: 4.2427 4.2427 4.2484
angles: 90.00 90.00 90.00
Last column: nearest neighbours and their distance in Å.
Fractional coordinates of all 5 atoms:
La1 0.0000 0.0000 0.0000  4 Rh 3.00, 8 Ru 3.00
Ru1 0.0000 0.5000 0.5000  2 C 2.12
Ru2 0.5000 0.0000 0.5000  2 C 2.12
Rh1 0.5000 0.5000 0.0000  2 C 2.12
C1 0.5000 0.5000 0.5000  4 Ru 2.12, 2 Rh 2.12

Values from the calculation:
The calculation puts the electronic total energy at -8.151 eV/atom. The value obtained for the formation energy is -0.1398 eV per atom. As for the symmetry: P4/mmm.

***

[11]
The following is a DFT calculation (PBE-GGA) of an optimized crystal structure of Y2Hf2Cl.

abc: 7.0545 7.0545 5.4467
angles: 90.00 90.00 90.00
Last column: nearest neighbours and their distance in Å.
Fractional coordinates of all 10 atoms:
Y1 0.1552 0.3448 0.0000  2 Cl 2.67
Y2 0.3448 0.8448 0.0000  2 Cl 2.67
Y3 0.6552 0.1552 0.0000  2 Cl 2.67
Y4 0.8448 0.6552 0.0000  2 Cl 2.67
Hf1 0.1409 0.6409 0.5000  1 Hf 2.81
Hf2 0.3591 0.1409 0.5000  1 Hf 2.81
Hf3 0.6409 0.8591 0.5000  1 Hf 2.81
Hf4 0.8591 0.3591 0.5000  1 Hf 2.81
Cl1 0.0000 0.0000 0.0000  4 Y 2.67
Cl2 0.5000 0.5000 0.0000  4 Y 2.67

Values from the calculation:
The calculation puts the uncorrected formation energy at 0.081 eV per atom. The calculation puts the electronic total energy at -6.855 eV/atom. As for the symmetry: P4/mbm.

***

[12]
The following is a DFT calculation (PBE-GGA) of an optimized crystal structure of Na3Re2O8.

abc: 6.4632 6.4632 5.7899
angles: 108.17 108.17 63.58
Last column: nearest neighbours and their distance in Å.
Fractional coordinates of all 13 atoms:
Na1 0.0000 0.0000 0.0000  6 O 2.44-2.51
Na2 0.2645 0.7355 0.5000  6 O 2.42-2.44
Na3 0.7355 0.2645 0.5000  6 O 2.42-2.44
Re1 0.3095 0.3095 0.8602  4 O 1.78-1.80
Re2 0.6905 0.6905 0.1398  4 O 1.78-1.80
O1 0.1334 0.1334 0.7432  1 Re 1.80
O2 0.1572 0.5834 0.7624  1 Re 1.78
O3 0.3691 0.3691 0.1900  1 Re 1.78
O4 0.4166 0.8428 0.2376  1 Re 1.78
O5 0.5834 0.1572 0.7624  1 Re 1.78
O6 0.6309 0.6309 0.8100  1 Re 1.78
O7 0.8428 0.4166 0.2376  1 Re 1.78
O8 0.8666 0.8666 0.2568  1 Re 1.80

Values from the calculation:
The calculation puts the uncorrected formation energy at -1.747 eV per atom. The calculation puts the electronic total energy at -7.018 eV/atom. As for the symmetry: C2/m.

***

What is the formula in the tenth record?
LaRu2RhC